1.
An optimized crystal structure of InCu3Pd4, computed with PBE.

Properties
Space group: No. 123
E_tot in eV/cell: -76.01
Energy relative to the elements in eV per atom: -0.28

abc: 4.2216 6.6170 8.4449
angles: 90.00 90.00 90.00
Fractional coordinates of all 16 atoms:
1 Pd 0.5000 0.7628 0.0000
2 Pd 0.5000 0.7628 0.5000
3 Pd 0.5000 0.2372 0.0000
4 Pd 0.5000 0.2372 0.5000
5 Pd 0.9999 0.7628 0.7500
6 Pd 0.0001 0.7628 0.2500
7 Pd 0.0001 0.2372 0.2500
8 Pd 0.9999 0.2372 0.7500
9 Cu 0.0000 0.0000 0.0000
10 Cu 0.0000 0.0000 0.5000
11 Cu 0.4999 0.0000 0.7500
12 Cu 0.5001 0.0000 0.2500
13 Cu 0.4999 0.5000 0.7500
14 Cu 0.5001 0.5000 0.2500
15 In 0.0000 0.5000 0.0000
16 In 0.0000 0.5000 0.5000

2.
An optimized crystal structure of In2CuPd, computed with PBE.

Properties
Space group: No. 122
E_tot in eV/cell: -29.00
Energy relative to the elements in eV per atom: 0.07

abc: 7.4281 7.4281 5.9994
angles: 51.75 51.75 90.00
Fractional coordinates of all 8 atoms:
1 Cu 0.5000 0.5000 0.0000
2 Cu 0.2500 0.7500 0.5000
3 Pd 0.0000 0.0000 0.0000
4 Pd 0.7500 0.2500 0.5000
5 In 0.6146 0.1250 0.2500
6 In 0.1354 0.6250 0.2500
7 In 0.3750 0.3854 0.7500
8 In 0.8750 0.8646 0.7500

3.
An optimized crystal structure of In2Cu3Pd3, computed with PBE.

Properties
Space group: No. 47
E_tot in eV/cell: -35.55
Energy relative to the elements in eV per atom: -0.28

abc: 4.0047 4.0257 7.6899
angles: 90.00 90.00 90.00
Fractional coordinates of all 8 atoms:
1 In 0.0000 0.0000 0.7503
2 In 0.0000 0.0000 0.2497
3 Cu 0.5000 0.5000 0.7519
4 Cu 0.5000 0.5000 0.2481
5 Cu 0.5000 0.0000 0.0000
6 Pd 0.5000 0.0000 0.5000
7 Pd 0.0000 0.5000 0.0000
8 Pd 0.0000 0.5000 0.5000

4.
An optimized crystal structure of InCu2Pd2, computed with PBE.

Properties
Space group: No. 139
E_tot in eV/cell: -21.05
Energy relative to the elements in eV per atom: 0.05
Energy relative to the lowest polymorph listed for this composition in eV per formula unit: 1.24

abc: 3.8925 3.8925 6.1905
angles: 71.68 71.68 90.00
Fractional coordinates of all 5 atoms:
1 Cu 0.3968 0.3968 0.2063
2 Cu 0.6032 0.6032 0.7937
3 Pd 0.7500 0.2500 0.5000
4 Pd 0.2500 0.7500 0.5000
5 In 0.0000 0.0000 0.0000

5.
An optimized crystal structure of In5Cu3Pd12, computed with PBE.

Properties
Space group: No. 230
E_tot in eV/cell: -341.79
Energy relative to the elements in eV per atom: 0.14

abc: 13.0589 13.0589 13.0589
angles: 109.47 109.47 109.47
Fractional coordinates of all 80 atoms:
1 Cu 0.7500 0.3750 0.1250
2 Cu 0.8750 0.7500 0.1250
3 Cu 0.3750 0.7500 0.6250
4 Cu 0.2500 0.1250 0.3750
5 Cu 0.8750 0.1250 0.2500
6 Cu 0.3750 0.6250 0.2500
7 Cu 0.6250 0.3750 0.7500
8 Cu 0.1250 0.8750 0.7500
9 Cu 0.7500 0.8750 0.6250
10 Cu 0.6250 0.2500 0.3750
11 Cu 0.1250 0.2500 0.8750
12 Cu 0.2500 0.6250 0.8750
13 In 0.1250 0.3750 0.2500
14 In 0.0000 0.5000 0.0000
15 In 0.0000 0.0000 0.0000
16 In 0.3750 0.2500 0.1250
17 In 0.5000 0.0000 0.5000
18 In 0.5000 0.5000 0.0000
19 In 0.1250 0.7500 0.3750
20 In 0.7500 0.1250 0.8750
21 In 0.7500 0.6250 0.3750
22 In 0.3750 0.1250 0.7500
23 In 0.6250 0.8750 0.2500
24 In 0.5000 0.5000 0.5000
25 In 0.5000 0.0000 0.0000
26 In 0.0000 0.0000 0.5000
27 In 0.2500 0.3750 0.6250
28 In 0.2500 0.8750 0.1250
29 In 0.0000 0.5000 0.5000
30 In 0.8750 0.2500 0.6250
31 In 0.6250 0.7500 0.8750
32 In 0.8750 0.6250 0.7500
33 Pd 0.7332 0.1436 0.0743
34 Pd 0.3411 0.5743 0.4307
35 Pd 0.9257 0.3564 0.2668
36 Pd 0.5743 0.2332 0.1436
37 Pd 0.5896 0.7332 0.6589
38 Pd 0.9257 0.5693 0.1589
39 Pd 0.3411 0.7668 0.4104
40 Pd 0.0693 0.9104 0.1436
41 Pd 0.5693 0.9257 0.6589
42 Pd 0.7332 0.5896 0.1589
43 Pd 0.7668 0.4257 0.3564
44 Pd 0.8411 0.9307 0.0743
45 Pd 0.1436 0.7332 0.5743
46 Pd 0.3564 0.4307 0.0896
47 Pd 0.0896 0.9307 0.3564
48 Pd 0.4104 0.1436 0.5693
49 Pd 0.0896 0.1589 0.2332
50 Pd 0.4257 0.6589 0.0693
51 Pd 0.8411 0.9104 0.2668
52 Pd 0.1436 0.4104 0.0693
53 Pd 0.3564 0.9257 0.7668
54 Pd 0.5693 0.6436 0.4104
55 Pd 0.9307 0.8411 0.5743
56 Pd 0.7668 0.3411 0.9104
57 Pd 0.4307 0.3564 0.5896
58 Pd 0.0693 0.1589 0.4257
59 Pd 0.2332 0.6589 0.0896
60 Pd 0.1589 0.0896 0.7332
61 Pd 0.6436 0.0743 0.2332
62 Pd 0.8564 0.5896 0.9307
63 Pd 0.5743 0.3411 0.9307
64 Pd 0.5896 0.8564 0.4307
65 Pd 0.9104 0.8411 0.7668
66 Pd 0.9104 0.0693 0.6436
67 Pd 0.8564 0.2668 0.4257
68 Pd 0.1589 0.0693 0.9257
69 Pd 0.6436 0.5693 0.9104
70 Pd 0.4307 0.0743 0.3411
71 Pd 0.2668 0.4104 0.8411
72 Pd 0.2332 0.5743 0.6436
73 Pd 0.9307 0.0896 0.8564
74 Pd 0.6589 0.2332 0.5896
75 Pd 0.4257 0.7668 0.8564
76 Pd 0.0743 0.4307 0.8411
77 Pd 0.4104 0.2668 0.3411
78 Pd 0.0743 0.6436 0.7332
79 Pd 0.6589 0.4257 0.5693
80 Pd 0.2668 0.8564 0.9257

6.
An optimized crystal structure of InCuPd6, computed with PBE.

Properties
Space group: No. 2
E_tot in eV/cell: -38.97
Energy relative to the elements in eV per atom: -0.12
Energy relative to the lowest polymorph listed for this composition in eV per formula unit: 0.81

abc: 6.9613 7.4210 5.0995
angles: 42.98 46.97 57.66
Fractional coordinates of all 8 atoms:
1 In 0.0000 0.0000 0.0000
2 Cu 0.5000 0.5000 0.5000
3 Pd 0.9427 0.4616 0.8476
4 Pd 0.7480 0.9445 0.7687
5 Pd 0.4594 0.2520 0.3476
6 Pd 0.2520 0.0555 0.2313
7 Pd 0.0573 0.5384 0.1524
8 Pd 0.5406 0.7480 0.6524